LiMnPAu2 after structural relaxation, computed with GGA-PBE.

Results
energy relative to the elements	0.68	eV/atom
space group	No. 123

```
LiMnPAu2
1.0
4.3687 0.0000 0.0000
0.0000 4.3687 0.0000
0.0000 0.0000 4.6003
Li Mn P Au
1 1 1 2
Cartesian
0.0000 0.0000 0.0000
0.0000 0.0000 2.3002
2.1844 2.1844 2.3002
0.0000 2.1844 0.0000
2.1844 0.0000 0.0000
```